An optimized crystal structure of TbBiF. Source: Alexandria, functional PBE.

Output
Uncorrected formation energy: -6.1 eV per formula unit
VASP energy: -5.486 eV/atom
Excess energy over the best structure of this formula in the dataset: 0 meV per atom
Crystal system: monoclinic

abc: 3.636 8.632 10.628
angles: 111.55 99.85 90.00
Sites, in units of the cell vectors:
Tb 0.915 0.096 0.831
Tb 0.085 0.904 0.169
Bi 0.623 0.642 0.247
F 0.194 0.105 0.388
Tb 0.264 0.712 0.528
Bi 0.447 0.803 0.893
Tb 0.736 0.288 0.472
F 0.789 0.582 0.578
F 0.806 0.895 0.612
F 0.211 0.418 0.422
Bi 0.377 0.358 0.753
Bi 0.553 0.197 0.107

***

An optimized crystal structure of TbBiF. Source: Alexandria, functional PBE.

Output
Uncorrected formation energy: -6.1 eV per formula unit
VASP energy: -5.480 eV/atom
Excess energy over the best structure of this formula in the dataset: 6 meV per atom
Crystal system: hexagonal

abc: 4.956 3.992 3.992
angles: 120.00 90.00 90.00
Sites, in units of the cell vectors:
Bi 0.667 0.667 0.333
Tb 0.167 0.000 0.000
F 0.167 0.333 0.667

***

An optimized crystal structure of TbBi2F8. Source: Alexandria, functional PBE.

Output
Uncorrected formation energy: -31.3 eV per formula unit
VASP energy: -5.330 eV/atom
Crystal system: monoclinic

abc: 3.888 5.364 8.208
angles: 104.53 103.70 90.00
Sites, in units of the cell vectors:
Bi 0.167 0.668 0.334
Tb 0.500 0.000 0.000
Bi 0.833 0.332 0.666
F 0.403 0.599 0.807
F 0.974 0.203 0.948
F 0.365 0.083 0.730
F 0.597 0.401 0.193
F 0.635 0.917 0.270
F 0.767 0.680 0.533
F 0.026 0.797 0.052
F 0.233 0.320 0.467

***

An optimized crystal structure of TcBiF3. Source: Alexandria, functional PBE.

Output
Uncorrected formation energy: -4.1 eV per formula unit
VASP energy: -4.800 eV/atom
Excess energy over the best structure of this formula in the dataset: 0 meV per atom
Crystal system: cubic

abc: 4.364 4.364 4.364
angles: 90.00 90.00 90.00
Each line ends with the local moment (μB).
Sites, in units of the cell vectors:
Tc 0.000 0.000 0.000  2.91
F 0.000 0.000 0.500  -0.02
F 0.500 0.000 0.000  0.05
Bi 0.500 0.500 0.500  -0.53
F 0.000 0.500 0.000  0.04